(1)
# Tb2Y6Er3Zr

A relaxed Tb2Y6Er3Zr crystal (PBE-GGA, the Alexandria database).

The structure in extended XYZ format:
```
12
Lattice="3.049 -5.271 0.000 3.049 5.271 0.000 -2.016 0.000 11.478" Properties=species:S:1:pos:R:3 pbc="T T T"
Tb 3.049 3.512 0.000
Tb 3.049 -3.512 0.000
Y 0.031 1.724 8.654
Y 1.059 0.000 2.819
Y 0.031 -1.724 8.654
Y 4.049 1.724 2.825
Y 3.021 0.000 8.659
Y 4.049 -1.724 2.825
Er -1.008 0.000 5.739
Er 2.040 1.756 5.739
Er 2.040 -1.756 5.739
Zr 3.049 0.000 0.000
```

Results
- ρ: 6.50 Mg/m³
- Calculated formation energy: 0.052 eV/atom
- Fermi-level density of states: 16.10 states/eV per cell
- SG: No. 12



(2)
# BeGe2MoCl

A relaxed BeGe2MoCl crystal (PBE-GGA, the Alexandria database).

The structure in extended XYZ format:
```
5
Lattice="4.913 0.000 0.000 0.000 4.913 0.000 0.000 0.000 3.642" Properties=species:S:1:pos:R:3 pbc="T T T"
Be 0.000 0.000 0.000
Ge 0.000 2.457 1.821
Ge 2.457 0.000 1.821
Mo 2.457 2.457 0.000
Cl 0.000 0.000 1.821
```

Results
- ρ: 5.40 Mg/m³
- Uncorrected formation energy: 1.194 eV per atom
- Fermi-level density of states: 2.63 states/eV per cell
- SG: No. 123



| no. | calculated volume (A^3/atom) |
| --- | --- |
| 1 | 30.7 |
| 2 | 17.6 |